Entry 1:
This record from the Alexandria database describes a geometry-optimized BaCa2Tl2Hg2 structure. The functional is PBE-GGA. Values from VASP.

As for the energy relative to the elements: -0.361 eV per atom.

```
&SYSTEM
  ibrav = 0, nat = 7, ntyp = 4
/
ATOMIC_SPECIES
Ba 137.33 Ba.upf
Ca 40.08 Ca.upf
Tl 204.38 Tl.upf
Hg 200.59 Hg.upf
CELL_PARAMETERS angstrom
2.585 1.492 9.842
-2.585 1.492 9.842
0.000 -2.984 9.842
ATOMIC_POSITIONS angstrom
Ba 0.000 0.000 0.000
Ca 0.000 0.000 3.947
Ca 0.000 0.000 25.578
Tl 0.000 0.000 7.550
Tl 0.000 0.000 21.975
Hg 0.000 0.000 12.859
Hg 0.000 0.000 16.665
```

---

Entry 2:
This record from the Alexandria database describes a geometry-optimized ZrHg2 structure. The functional is PBE-GGA. Values from VASP.

As for the energy relative to the elements: -0.027 eV per atom.

```
&SYSTEM
  ibrav = 0, nat = 12, ntyp = 2
/
ATOMIC_SPECIES
Zr 91.22 Zr.upf
Hg 200.59 Hg.upf
CELL_PARAMETERS angstrom
3.147 0.000 0.000
0.000 3.147 0.000
0.000 0.000 27.565
ATOMIC_POSITIONS angstrom
Zr 0.000 0.787 10.337
Zr 0.000 2.360 17.228
Zr 1.574 0.787 3.446
Zr 1.574 2.360 24.120
Hg 0.000 0.787 21.960
Hg 0.000 0.787 26.279
Hg 0.000 2.360 1.286
Hg 0.000 2.360 5.605
Hg 1.574 0.787 15.069
Hg 1.574 0.787 19.388
Hg 1.574 2.360 8.178
Hg 1.574 2.360 12.496
```

---

Entry 3:
This record from the Alexandria database describes a geometry-optimized PaNiB2 structure. The functional is PBE-GGA. Values from VASP.

The value obtained for the energy relative to the lowest polymorph listed for this composition is 0.573 eV per formula unit. As for the energy relative to the elements: -0.356 eV per atom.

```
&SYSTEM
  ibrav = 0, nat = 12, ntyp = 3
/
ATOMIC_SPECIES
Pa 231.04 Pa.upf
Ni 58.69 Ni.upf
B 10.81 B.upf
CELL_PARAMETERS angstrom
3.511 0.000 0.000
-1.755 3.040 0.000
0.000 0.000 13.724
ATOMIC_POSITIONS angstrom
Pa 0.000 0.000 0.000
Pa 0.000 2.027 9.150
Pa 1.755 1.013 4.575
Ni 0.000 0.000 6.862
Ni 0.000 2.027 2.287
Ni 1.755 1.013 11.437
B 0.000 0.000 2.778
B 0.000 0.000 10.947
B 0.000 2.027 6.372
B 0.000 2.027 11.927
B 1.755 1.013 1.797
B 1.755 1.013 7.353
```

---

Entry 4:
This record from the Alexandria database describes a geometry-optimized LiSbTe2 structure. The functional is PBE-GGA. Values from VASP.

Its formation energy from raw total energies is -103 meV per atom.

```
&SYSTEM
  ibrav = 0, nat = 8, ntyp = 3
/
ATOMIC_SPECIES
Li 6.94 Li.upf
Sb 121.76 Sb.upf
Te 127.60 Te.upf
CELL_PARAMETERS angstrom
4.680 0.000 0.000
0.000 4.690 0.000
0.000 0.000 9.499
ATOMIC_POSITIONS angstrom
Li 0.000 0.000 0.000
Li 2.340 2.345 0.000
Sb 0.000 2.345 1.807
Sb 2.340 0.000 1.807
Te 0.000 0.000 4.522
Te 0.000 2.345 7.911
Te 2.340 0.000 7.911
Te 2.340 2.345 4.522
```

---

Results for mass density: 7.49; 11.98; 10.59; 6.12 (in g cm⁻³, following the order of the records).